(1)
{
  "formula": "LaDy5Tl2",
  "functional": "PBE-GGA",
  "state": "optimized geometry",
  "sg": "Immm",
  "final_energy_ev_per_atom": -3.820,
  "magnetic_moment_mub_per_atom": 0.000,
  "lattice_angstrom": [[-3.872, -2.685, -0.560], [-0.710, -4.925, 8.420], [-4.660, 0.739, 8.567]],
  "species": ["La", "Dy", "Dy", "Dy", "Dy", "Dy", "Tl", "Tl"],
  "frac_coords": [[0.000, 0.000, 0.000], [0.177, 0.078, 0.567], [0.823, 0.922, 0.433], [0.823, 0.433, 0.922], [0.177, 0.567, 0.078], [0.000, 0.500, 0.500], [0.633, 0.867, 0.867], [0.367, 0.133, 0.133]]
}

---

(2)
{
  "formula": "LiGa9Cu3",
  "functional": "PBE-GGA",
  "state": "optimized geometry",
  "sg": "C2/m",
  "final_energy_ev_per_atom": -3.238,
  "magnetic_moment_mub_per_atom": 0.000,
  "lattice_angstrom": [[4.727, -0.063, 1.919], [2.212, 6.262, 0.898], [-0.176, -0.032, 7.215]],
  "species": ["Ga", "Ga", "Ga", "Ga", "Ga", "Ga", "Ga", "Ga", "Ga", "Cu", "Cu", "Cu", "Li"],
  "frac_coords": [[0.303, 0.209, 0.215], [0.663, 0.338, 0.356], [0.337, 0.662, 0.644], [0.000, 0.500, 0.000], [0.697, 0.791, 0.785], [0.482, 0.791, 0.215], [0.518, 0.209, 0.785], [0.019, 0.338, 0.644], [0.981, 0.662, 0.356], [0.500, 0.000, 0.500], [0.000, 0.000, 0.500], [0.500, 0.500, 0.000], [0.000, 0.000, 0.000]]
}

---

(3)
{
  "formula": "TmZr2Fe",
  "functional": "PBE-GGA",
  "state": "optimized geometry",
  "sg": "R3m",
  "final_energy_ev_per_atom": -7.391,
  "magnetic_moment_mub_per_atom": 0.000,
  "lattice_angstrom": [[-1.242, -3.767, 1.211], [-0.114, -3.122, -2.727], [5.327, -3.746, 0.913]],
  "species": ["Fe", "Tm", "Zr", "Zr"],
  "frac_coords": [[0.672, 0.672, 0.985], [0.495, 0.495, 0.516], [0.281, 0.281, 0.156], [0.052, 0.052, 0.843]]
}

---

(4)
{
  "formula": "MnBTeI2",
  "functional": "PBE-GGA",
  "state": "optimized geometry",
  "sg": "P4/mmm",
  "final_energy_ev_per_atom": -3.403,
  "magnetic_moment_mub_per_atom": 0.864,
  "formation_energy_uncorrected_mev_per_atom": 1015,
  "lattice_angstrom": [[-2.148, -1.616, -4.794], [-3.662, -3.098, 2.685], [-3.405, 4.139, 0.130]],
  "species": ["Mn", "Te", "I", "I", "B"],
  "frac_coords": [[0.000, 0.000, 0.000], [0.000, 0.000, 0.500], [0.000, 0.500, 0.000], [0.500, 0.000, 0.000], [0.500, 0.500, 0.500]]
}

---

(5)
{
  "formula": "ScSnAsSe2",
  "functional": "PBE-GGA",
  "state": "optimized geometry",
  "sg": "P4/mmm",
  "final_energy_ev_per_atom": -4.704,
  "magnetic_moment_mub_per_atom": 0.000,
  "formation_energy_uncorrected_mev_per_atom": -314,
  "lattice_angstrom": [[5.141, 0.000, 0.000], [0.000, 5.141, 0.000], [0.000, 0.000, 5.159]],
  "species": ["As", "Se", "Se", "Sn", "Sc"],
  "frac_coords": [[0.000, 0.000, 0.500], [0.000, 0.500, 0.000], [0.500, 0.000, 0.000], [0.500, 0.500, 0.500], [0.000, 0.000, 0.000]]
}

---

(6)
{
  "formula": "Er2TcP",
  "functional": "PBE-GGA",
  "state": "optimized geometry",
  "sg": "R-3m",
  "final_energy_ev_per_atom": -6.104,
  "magnetic_moment_mub_per_atom": 0.197,
  "lattice_angstrom": [[3.589, 0.000, 0.000], [1.795, 3.108, 0.000], [1.795, 1.036, 8.644]],
  "species": ["P", "Er", "Er", "Tc"],
  "frac_coords": [[0.500, 0.500, 0.500], [0.101, 0.101, 0.697], [0.899, 0.899, 0.303], [0.000, 0.000, 0.000]]
}

---

(7)
{
  "formula": "RbSbCl4",
  "functional": "PBE-GGA",
  "state": "optimized geometry",
  "sg": "C2/c",
  "final_energy_ev_per_atom": -3.345,
  "magnetic_moment_mub_per_atom": 0.000,
  "formation_energy_uncorrected_mev_per_atom": -1266,
  "lattice_angstrom": [[-1.956, -6.324, -4.683], [7.056, -0.037, -0.499], [-2.156, -1.313, 8.495]],
  "species": ["Rb", "Rb", "Sb", "Sb", "Cl", "Cl", "Cl", "Cl", "Cl", "Cl", "Cl", "Cl"],
  "frac_coords": [[0.626, 0.376, 0.753], [0.374, 0.624, 0.247], [0.075, 0.825, 0.651], [0.925, 0.175, 0.349], [0.659, 0.844, 0.112], [0.716, 0.419, 0.397], [0.047, 0.732, 0.888], [0.819, 0.022, 0.603], [0.953, 0.268, 0.112], [0.341, 0.156, 0.888], [0.284, 0.581, 0.603], [0.181, 0.978, 0.397]]
}

---

(8)
{
  "formula": "Sc3PI",
  "functional": "PBE-GGA",
  "state": "optimized geometry",
  "sg": "Pm-3m",
  "final_energy_ev_per_atom": -5.611,
  "magnetic_moment_mub_per_atom": 0.000,
  "formation_energy_uncorrected_mev_per_atom": -420,
  "lattice_angstrom": [[-4.184, -2.123, 1.726], [2.107, -4.512, -0.445], [1.747, 0.355, 4.671]],
  "species": ["P", "Sc", "Sc", "Sc", "I"],
  "frac_coords": [[0.000, 0.000, 0.000], [0.000, 0.000, 0.500], [0.000, 0.500, 0.000], [0.500, 0.000, 0.000], [0.500, 0.500, 0.500]]
}